1.
First-principles (PBE) data for a relaxed structure of NpCdPd14, as listed in the Alexandria database.

Cell lengths 5.742, 5.742, 7.832 Å; angles 90.00, 90.00, 90.00 degrees
Space group P4/mmm (No. 123)
Asymmetric unit:
Np1 0.000 0.000 0.000 (multiplicity 1)
Cd1 0.500 0.500 0.000 (multiplicity 1)
Pd1 0.000 0.000 0.500 (multiplicity 1)
Pd2 0.000 0.500 0.000 (multiplicity 2)
Pd3 0.000 0.500 0.500 (multiplicity 2)
Pd4 0.248 0.248 0.253 (multiplicity 8)
Pd5 0.500 0.500 0.500 (multiplicity 1)

Summary:
As for the calculated density: 11.8 Mg/m³. Its energy relative to the elements is -0.20 eV per atom.

***

2.
First-principles (PBE) data for a relaxed structure of LiTa2Ir, as listed in the Alexandria database.

Cell lengths 2.833, 4.501, 5.000 Å; angles 90.00, 95.53, 90.00 degrees
Space group Pm (No. 6)
Asymmetric unit:
Li1 0.000 0.000 0.000 (multiplicity 1)
Ta1 0.414 0.000 0.516 (multiplicity 1)
Ta2 0.585 0.500 0.166 (multiplicity 1)
Ir1 0.016 0.500 0.689 (multiplicity 1)

Summary:
As for the calculated density: 14.7 Mg/m³. Its energy relative to the elements is -0.08 eV per atom.

***

3.
First-principles (PBE) data for a relaxed structure of Ac5Tm2Tl4, as listed in the Alexandria database.

Cell lengths 3.985, 9.251, 22.274 Å; angles 90.00, 90.00, 90.00 degrees
Space group Immm (No. 71)
Asymmetric unit:
Ac1 0.000 0.000 0.000 (multiplicity 2)
Ac2 0.000 0.289 0.344 (multiplicity 8)
Tm1 0.000 0.500 0.079 (multiplicity 4)
Tl1 0.000 0.200 0.500 (multiplicity 4)
Tl2 0.000 0.500 0.216 (multiplicity 4)

Summary:
As for the calculated density: 9.3 Mg/m³. Its energy relative to the elements is -0.14 eV per atom.

***

4.
First-principles (PBE) data for a relaxed structure of Na2AgHg2, as listed in the Alexandria database.

Cell lengths 4.222, 4.222, 14.478 Å; angles 90.00, 90.00, 90.00 degrees
Space group I4/mmm (No. 139)
Asymmetric unit:
Na1 0.000 0.500 0.250 (multiplicity 4)
Ag1 0.000 0.000 0.000 (multiplicity 2)
Hg1 0.000 0.000 0.402 (multiplicity 4)

Summary:
As for the calculated density: 7.1 Mg/m³. Its energy relative to the elements is 0.07 eV per atom.

***

5.
First-principles (PBE) data for a relaxed structure of AcCe2PrN4, as listed in the Alexandria database.

Cell lengths 6.349, 3.664, 6.389 Å; angles 90.00, 109.33, 90.00 degrees
Space group P2/m (No. 10)
Asymmetric unit:
Ac1 0.000 0.000 0.000 (multiplicity 1)
Ce1 0.000 0.500 0.500 (multiplicity 1)
Ce2 0.500 0.000 0.500 (multiplicity 1)
Pr1 0.500 0.500 0.000 (multiplicity 1)
N1 0.247 0.000 0.724 (multiplicity 2)
N2 0.266 0.500 0.282 (multiplicity 2)

Summary:
As for the calculated density: 8.3 Mg/m³. As for the uncorrected formation energy: -1032 kJ/mol of formula units.

***

6.
First-principles (PBE) data for a relaxed structure of Co5I3Br12, as listed in the Alexandria database.

Cell lengths 16.881, 16.881, 16.881 Å; angles 90.00, 90.00, 90.00 degrees
Space group Ia-3d (No. 230)
Asymmetric unit:
Co1 0.000 0.000 0.000 (multiplicity 16)
Co2 0.000 0.250 0.375 (multiplicity 24)
I1 0.000 0.250 0.125 (multiplicity 24)
Br1 0.031 0.148 0.967 (multiplicity 96)

Summary:
As for the calculated density: 4.5 Mg/m³. As for the uncorrected formation energy: 29 kJ/mol of formula units.

***

7.
First-principles (PBE) data for a relaxed structure of TaOs2Pt, as listed in the Alexandria database.

Cell lengths 5.594, 7.626, 2.904 Å; angles 90.00, 90.00, 90.00 degrees
Space group Cmmm (No. 65)
Asymmetric unit:
Ta1 0.000 0.000 0.000 (multiplicity 2)
Os1 0.250 0.250 0.500 (multiplicity 4)
Pt1 0.000 0.500 0.000 (multiplicity 2)

Summary:
As for the calculated density: 20.3 Mg/m³. Its energy relative to the elements is -0.09 eV per atom.

***

8.
First-principles (PBE) data for a relaxed structure of SeS2O8, as listed in the Alexandria database.

Cell lengths 10.472, 7.228, 4.683 Å; angles 90.00, 98.86, 90.00 degrees
Space group C2/m (No. 12)
Asymmetric unit:
Se1 0.000 0.000 0.000 (multiplicity 2)
S1 0.185 0.000 0.656 (multiplicity 4)
O1 0.113 0.164 0.768 (multiplicity 8)
O2 0.160 0.000 0.328 (multiplicity 4)
O3 0.179 0.500 0.250 (multiplicity 4)

Summary:
As for the calculated density: 2.6 Mg/m³. As for the uncorrected formation energy: -954 kJ/mol of formula units.

***

9.
First-principles (PBE) data for a relaxed structure of Na3Nd2RuO6, as listed in the Alexandria database.

Cell lengths 5.919, 10.054, 5.969 Å; angles 90.00, 108.31, 90.00 degrees
Space group C2/m (No. 12)
Asymmetric unit:
Na1 0.000 0.000 0.000 (multiplicity 2)
Na2 0.000 0.349 0.000 (multiplicity 4)
Nd1 0.000 0.171 0.500 (multiplicity 4)
Ru1 0.000 0.500 0.500 (multiplicity 2)
O1 0.231 0.348 0.724 (multiplicity 8)
O2 0.233 0.500 0.292 (multiplicity 4)

Summary:
As for the calculated density: 5.5 Mg/m³. As for the uncorrected formation energy: -2348 kJ/mol of formula units.

***

10.
First-principles (PBE) data for a relaxed structure of Tl2ZnCdBi2, as listed in the Alexandria database.

Cell lengths 6.536, 17.381, 6.390 Å; angles 90.00, 90.00, 90.00 degrees
Space group Ibam (No. 72)
Asymmetric unit:
Tl1 0.212 0.184 0.000 (multiplicity 8)
Zn1 0.000 0.500 0.250 (multiplicity 4)
Cd1 0.000 0.000 0.250 (multiplicity 4)
Bi1 0.217 0.388 0.000 (multiplicity 8)

Summary:
As for the calculated density: 9.2 Mg/m³. Its energy relative to the elements is 0.02 eV per atom.

***

11.
First-principles (PBE) data for a relaxed structure of Nd3Se4, as listed in the Alexandria database.

Cell lengths 4.2832, 4.2832, 41.2378 Å; angles 90.00, 90.00, 120.00 degrees
Space group R-3m (No. 166, hexagonal axes)
Asymmetric unit:
Nd1 0.0000 0.0000 0.0000 (multiplicity 3)
Nd2 0.0000 0.0000 0.2447 (multiplicity 6)
Se1 0.0000 0.0000 0.1231 (multiplicity 6)
Se2 0.0000 0.0000 0.3755 (multiplicity 6)

Summary:
As for the calculated density: 5.7 Mg/m³. As for the uncorrected formation energy: -1213 kJ/mol of formula units.

***

What did the sixth record say?
First-principles (PBE) data for a relaxed structure of Co5I3Br12, as listed in the Alexandria database.

Cell lengths 16.881, 16.881, 16.881 Å; angles 90.00, 90.00, 90.00 degrees
Space group Ia-3d (No. 230)
Asymmetric unit:
Co1 0.000 0.000 0.000 (multiplicity 16)
Co2 0.000 0.250 0.375 (multiplicity 24)
I1 0.000 0.250 0.125 (multiplicity 24)
Br1 0.031 0.148 0.967 (multiplicity 96)

Summary:
As for the calculated density: 4.5 Mg/m³. As for the uncorrected formation energy: 29 kJ/mol of formula units.

***

Repeat the second record exactly.
First-principles (PBE) data for a relaxed structure of LiTa2Ir, as listed in the Alexandria database.

Cell lengths 2.833, 4.501, 5.000 Å; angles 90.00, 95.53, 90.00 degrees
Space group Pm (No. 6)
Asymmetric unit:
Li1 0.000 0.000 0.000 (multiplicity 1)
Ta1 0.414 0.000 0.516 (multiplicity 1)
Ta2 0.585 0.500 0.166 (multiplicity 1)
Ir1 0.016 0.500 0.689 (multiplicity 1)

Summary:
As for the calculated density: 14.7 Mg/m³. Its energy relative to the elements is -0.08 eV per atom.

***

> calculated density of number 5 (AcCe2PrN4)?

8.3 Mg/m³

***

> Among the records above, which one has the lowest calculated density?

SeS2O8